Density functional theory data (PBE-GGA) for an optimized crystal structure of MgNb2CdO.

total DFT energy (no corrections)	-6.06	eV per atom
DOS at the Fermi energy	0.429	states/eV/atom
calculated volume	82.3	Å³/f.u.
formation energy (no corrections)	-52.3	kJ per mole of atoms

```
5
Lattice="4.251 0.000 0.000 0.000 4.251 0.000 0.000 0.000 4.556" Properties=species:S:1:pos:R:3 pbc="T T T"
Mg 0.000 0.000 0.000
Nb 0.000 2.125 2.278
Nb 2.125 0.000 2.278
Cd 2.125 2.125 0.000
O 0.000 0.000 2.278
```

---

Density functional theory data (PBE-GGA) for an optimized crystal structure of Mg2TaNbCd.

formation enthalpy at 0 K	111	kJ per mole of atoms
total DFT energy (no corrections)	-4.05	eV per atom
DOS at the Fermi energy	0.762	states/eV/atom
calculated volume	135.5	Å³/f.u.

```
5
Lattice="5.317 0.000 0.000 0.000 5.317 0.000 0.000 0.000 4.794" Properties=species:S:1:pos:R:3 pbc="T T T"
Mg 0.000 2.658 0.000
Mg 2.658 0.000 0.000
Ta 0.000 0.000 2.397
Nb 0.000 0.000 0.000
Cd 2.658 2.658 2.397
```

---

Density functional theory data (PBE-GGA) for an optimized crystal structure of Mg2NbCdTe.

total DFT energy (no corrections)	-2.68	eV per atom
DOS at the Fermi energy	0.632	states/eV/atom
calculated volume	145.0	Å³/f.u.
formation energy (no corrections)	75.7	kJ per mole of atoms

```
5
Lattice="5.293 0.000 0.000 0.000 5.293 0.000 0.000 0.000 5.176" Properties=species:S:1:pos:R:3 pbc="T T T"
Mg 0.000 2.647 0.000
Mg 2.647 0.000 0.000
Nb 0.000 0.000 2.588
Cd 2.647 2.647 2.588
Te 0.000 0.000 0.000
```

---

Density functional theory data (PBE-GGA) for an optimized crystal structure of NdMg6Cd12.

formation enthalpy at 0 K	1	kJ per mole of atoms
total DFT energy (no corrections)	-1.32	eV per atom
DOS at the Fermi energy	0.544	states/eV/atom
calculated volume	469.0	Å³/f.u.

```
19
Lattice="6.387 3.688 3.319 -6.387 3.688 3.319 0.000 -7.375 3.319" Properties=species:S:1:pos:R:3 pbc="T T T"
Nd 0.000 0.000 0.000
Mg -2.576 -1.487 5.620
Mg 0.000 -2.974 4.336
Mg -2.576 1.487 4.336
Mg 2.576 -1.487 5.620
Mg 0.000 2.974 5.620
Mg 2.576 1.487 4.336
Cd -2.484 -4.303 4.978
Cd -4.969 0.000 4.978
Cd -1.575 -0.909 2.803
Cd 1.575 -0.909 2.803
Cd 0.000 1.819 2.803
Cd 2.484 -4.303 4.978
Cd -2.484 4.303 4.978
Cd 0.000 -1.819 7.153
Cd -1.575 0.909 7.153
Cd 1.575 0.909 7.153
Cd 4.969 0.000 4.978
Cd 2.484 4.303 4.978
```

---

Density functional theory data (PBE-GGA) for an optimized crystal structure of Nd5MgCd4.

formation enthalpy at 0 K	-27	kJ per mole of atoms
total DFT energy (no corrections)	-3.19	eV per atom
DOS at the Fermi energy	1.225	states/eV/atom
calculated volume	288.1	Å³/f.u.

```
10
Lattice="3.865 0.000 0.000 0.000 3.865 0.000 0.000 0.000 19.279" Properties=species:S:1:pos:R:3 pbc="T T T"
Nd 0.000 0.000 0.000
Nd 0.000 0.000 3.842
Nd 0.000 0.000 7.697
Nd 0.000 0.000 11.583
Nd 0.000 0.000 15.437
Mg 1.933 1.933 9.640
Cd 1.933 1.933 1.927
Cd 1.933 1.933 5.811
Cd 1.933 1.933 13.469
Cd 1.933 1.933 17.352
```

---

Density functional theory data (PBE-GGA) for an optimized crystal structure of Nd2MgCd.

formation enthalpy at 0 K	-21	kJ per mole of atoms
total DFT energy (no corrections)	-3.23	eV per atom
DOS at the Fermi energy	1.061	states/eV/atom
calculated volume	115.6	Å³/f.u.

```
4
Lattice="5.450 0.000 0.000 0.000 5.450 0.000 0.000 0.000 3.892" Properties=species:S:1:pos:R:3 pbc="T T T"
Nd 0.000 2.725 0.000
Nd 2.725 0.000 0.000
Mg 0.000 0.000 1.946
Cd 2.725 2.725 1.946
```